No. 1
Material: TiP2BrO
Method: DFT, PBE-GGA
State: optimized geometry

Properties
Energy above the lowest structure with this stoichiometry (eV/atom): 1.914
Size of the total moment (μB per cell): 0.00
Fermi-level density of states (states/eV/f.u.): 7.0
Space group: P4/mmm, No. 123

Cell and atoms, written as POSCAR:
```
TiP2BrO
1.0
4.762 0.000 0.000
0.000 4.762 0.000
0.000 0.000 4.737
Ti P Br O
1 2 1 1
Cartesian
0.000 0.000 0.000 Ti
0.000 2.381 2.369 P
2.381 0.000 2.369 P
0.000 0.000 2.369 Br
2.381 2.381 0.000 O
```

---

No. 2
Material: TiPBrO2
Method: DFT, PBE-GGA
State: optimized geometry

Properties
Energy above the lowest structure with this stoichiometry (eV/atom): 0.000
Size of the total moment (μB per cell): 0.24
Fermi-level density of states (states/eV/f.u.): 2.5
Space group: P4/mmm, No. 123

Cell and atoms, written as POSCAR:
```
TiPBrO2
1.0
3.779 0.000 0.000
0.000 3.779 0.000
0.000 0.000 5.602
Ti P Br O
1 1 1 2
Cartesian
0.000 0.000 0.000 Ti
0.000 0.000 2.801 P
1.889 1.889 2.801 Br
0.000 1.889 0.000 O
1.889 0.000 0.000 O
```

---

No. 3
Material: TiPBrO2
Method: DFT, PBE-GGA
State: optimized geometry

Properties
Energy above the lowest structure with this stoichiometry (eV/atom): 1.575
Size of the total moment (μB per cell): 1.14
Fermi-level density of states (states/eV/f.u.): 3.9
Space group: P4/mmm, No. 123

Cell and atoms, written as POSCAR:
```
TiPBrO2
1.0
3.798 0.000 0.000
0.000 3.798 0.000
0.000 0.000 5.386
Ti P Br O
1 1 1 2
Cartesian
0.000 0.000 0.000 Ti
1.899 1.899 0.000 P
1.899 1.899 2.693 Br
0.000 1.899 2.693 O
1.899 0.000 2.693 O
```

---

No. 4
Material: TiP2BrO
Method: DFT, PBE-GGA
State: optimized geometry

Properties
Energy above the lowest structure with this stoichiometry (eV/atom): 0.000
Size of the total moment (μB per cell): 0.00
Fermi-level density of states (states/eV/f.u.): 4.2
Space group: P4/mmm, No. 123

Cell and atoms, written as POSCAR:
```
TiP2BrO
1.0
4.975 0.000 0.000
0.000 4.975 0.000
0.000 0.000 3.742
Ti P Br O
1 2 1 1
Cartesian
0.000 0.000 0.000 Ti
0.000 2.487 0.000 P
2.487 0.000 0.000 P
2.487 2.487 1.871 Br
0.000 0.000 1.871 O
```

---

Q: The highest energy above the lowest structure with this stoichiometry belongs to which entry?
A: number 1

---

Q: Which value of Fermi-level density of states does entry 2 give?
A: 2.5 states/eV/f.u.